(1)
Material: Li2ErSnTe4
Method: DFT, PBE
State: optimized geometry

Values from the calculation:
Uncorrected formation energy = -0.8699 eV per atom
Symmetry = P2/m
Fermi-level density of states = 0.220 states/eV/atom
Electronic total energy = -3.99 eV per atom

abc: 4.2849 7.5502 7.4498
angles: 109.93 90.00 90.00
Closest atoms and distances in Å follow each position.
Sites, in units of the cell vectors:
Li 0.0000 0.5000 0.5000  6 Te 2.99-3.06
Te 0.5000 0.7439 0.7420  3 Li 2.99-3.06, 2 Sn 3.08, 1 Er 3.08
Te 0.0000 0.2470 0.7453  3 Li 3.01-3.06, 2 Er 3.06, 1 Sn 3.08
Er 0.5000 0.5000 0.0000  6 Te 3.06-3.08
Sn 0.0000 0.0000 0.0000  6 Te 3.08
Te 0.5000 0.2561 0.2580  3 Li 2.99-3.06, 2 Sn 3.08, 1 Er 3.08
Li 0.5000 0.0000 0.5000  6 Te 3.01-3.06
Te 0.0000 0.7530 0.2547  3 Li 3.01-3.06, 2 Er 3.06, 1 Sn 3.08

***

(2)
Material: LiEr2Sn3Te6
Method: DFT, PBE
State: optimized geometry

Values from the calculation:
Uncorrected formation energy = -0.7052 eV per atom
Symmetry = C2/m
Fermi-level density of states = 0.322 states/eV/atom
Electronic total energy = -4.20 eV per atom

abc: 4.3840 9.0538 10.0273
angles: 104.77 102.63 90.00
Closest atoms and distances in Å follow each position.
Sites, in units of the cell vectors:
Sn 0.1597 0.8456 0.3193  6 Te 3.12-3.29
Li 0.5000 0.0000 0.0000  6 Te 3.09-3.18
Te 0.0053 0.2428 0.0106  1 Er 3.04, 2 Li 3.09, 3 Sn 3.12-3.22
Er 0.1660 0.3400 0.3321  6 Te 3.04-3.10
Te 0.3299 0.4179 0.6597  3 Er 3.09-3.10, 3 Sn 3.22-3.29
Te 0.6701 0.5821 0.3403  3 Er 3.09-3.10, 3 Sn 3.22-3.29
Er 0.8340 0.6600 0.6679  6 Te 3.04-3.10
Sn 0.8403 0.1544 0.6807  6 Te 3.12-3.29
Sn 0.5000 0.5000 0.0000  6 Te 3.22
Te 0.3315 0.8990 0.6629  2 Er 3.09, 3 Sn 3.16-3.27, 1 Li 3.18
Te 0.6685 0.1010 0.3371  2 Er 3.09, 3 Sn 3.16-3.27, 1 Li 3.18
Te 0.9947 0.7572 0.9894  1 Er 3.04, 2 Li 3.09, 3 Sn 3.12-3.22

***

(3)
Material: LiErThSn
Method: DFT, PBE
State: optimized geometry

Values from the calculation:
ΔH_f (0 K) = -0.235 eV/atom
Symmetry = F-43m
Fermi-level density of states = 1.161 states/eV/atom
Electronic total energy = -4.71 eV per atom

abc: 5.2877 5.2877 5.2877
angles: 60.00 60.00 60.00
Closest atoms and distances in Å follow each position.
Sites, in units of the cell vectors:
Li 0.7500 0.7500 0.7500  4 Th 3.24, 4 Er 3.24
Sn 0.2500 0.2500 0.2500  4 Th 3.24, 4 Er 3.24
Er 0.5000 0.5000 0.5000  4 Sn 3.24, 4 Li 3.24
Th 0.0000 0.0000 0.0000  4 Sn 3.24, 4 Li 3.24

***

(4)
Material: LiErTlSn
Method: DFT, PBE
State: optimized geometry

Values from the calculation:
ΔH_f (0 K) = -0.416 eV/atom
Offset from the most stable computed form = 0.0 meV per atom
Symmetry = Pmmm
Fermi-level density of states = 0.436 states/eV/atom
Electronic total energy = -3.63 eV per atom

abc: 4.3510 4.7770 4.5551
angles: 90.00 90.00 90.00
Closest atoms and distances in Å follow each position.
Sites, in units of the cell vectors:
Tl 0.0000 0.5000 0.5000  4 Li 3.15, 4 Er 3.23, 4 Sn 3.30
Er 0.5000 0.0000 0.5000  4 Sn 3.15, 4 Tl 3.23, 4 Li 3.30
Li 0.5000 0.5000 0.0000  4 Tl 3.15, 4 Sn 3.23, 4 Er 3.30
Sn 0.0000 0.0000 0.0000  4 Er 3.15, 4 Li 3.23, 4 Tl 3.30

***

(5)
Material: LiErTlSn
Method: DFT, PBE
State: optimized geometry

Values from the calculation:
ΔH_f (0 K) = -0.361 eV/atom
Offset from the most stable computed form = 55.8 meV per atom
Symmetry = F-43m
Fermi-level density of states = 0.531 states/eV/atom
Electronic total energy = -3.57 eV per atom

abc: 5.1675 5.1675 5.1675
angles: 60.00 60.00 60.00
Closest atoms and distances in Å follow each position.
Sites, in units of the cell vectors:
Li 0.5000 0.5000 0.5000  4 Tl 3.16, 4 Sn 3.16
Sn 0.2500 0.2500 0.2500  4 Li 3.16, 4 Er 3.16
Er 0.0000 0.0000 0.0000  4 Sn 3.16, 4 Tl 3.16
Tl 0.7500 0.7500 0.7500  4 Li 3.16, 4 Er 3.16

***

(6)
Material: LiErZnSn
Method: DFT, PBE
State: optimized geometry

Values from the calculation:
ΔH_f (0 K) = -0.418 eV/atom
Symmetry = F-43m
Fermi-level density of states = 0.286 states/eV/atom
Electronic total energy = -3.36 eV per atom

abc: 4.9602 4.9602 4.9602
angles: 60.00 60.00 60.00
Closest atoms and distances in Å follow each position.
Sites, in units of the cell vectors:
Zn 0.2500 0.2500 0.2500  4 Li 3.04, 4 Er 3.04
Er 0.0000 0.0000 0.0000  4 Sn 3.04, 4 Zn 3.04
Li 0.5000 0.5000 0.5000  4 Sn 3.04, 4 Zn 3.04
Sn 0.7500 0.7500 0.7500  4 Er 3.04, 4 Li 3.04

***

(7)
Material: Li2ErZn2Sn2
Method: DFT, PBE
State: optimized geometry

Values from the calculation:
ΔH_f (0 K) = -0.398 eV/atom
Symmetry = R-3m
Fermi-level density of states = 0.270 states/eV/atom
Electronic total energy = -3.10 eV per atom

abc: 4.4540 4.4540 8.5211
angles: 74.85 74.85 60.00
Closest atoms and distances in Å follow each position.
Sites, in units of the cell vectors:
Sn 0.2604 0.2604 0.2188  3 Zn 2.74, 4 Li 2.90-3.07
Er 0.0000 0.0000 0.0000  6 Sn 3.13, 2 Li 3.45
Sn 0.7396 0.7396 0.7812  3 Zn 2.74, 4 Li 2.90-3.07
Li 0.8585 0.8585 0.4246  3 Zn 2.67, 3 Li 2.85, 1 Sn 2.90
Li 0.1415 0.1415 0.5754  3 Zn 2.67, 3 Li 2.85, 1 Sn 2.90
Zn 0.5550 0.5550 0.3351  3 Li 2.67, 1 Zn 2.68, 3 Sn 2.74
Zn 0.4450 0.4450 0.6649  3 Li 2.67, 1 Zn 2.68, 3 Sn 2.74

***

(8)
Material: LiErZrSn
Method: DFT, PBE
State: optimized geometry

Values from the calculation:
ΔH_f (0 K) = -0.265 eV/atom
Symmetry = F-43m
Fermi-level density of states = 0.941 states/eV/atom
Electronic total energy = -5.02 eV per atom

abc: 5.0228 5.0228 5.0228
angles: 60.00 60.00 60.00
Closest atoms and distances in Å follow each position.
Sites, in units of the cell vectors:
Zr 0.7500 0.7500 0.7500  4 Sn 3.08, 4 Li 3.08
Li 0.0000 0.0000 0.0000  4 Zr 3.08, 4 Er 3.08
Er 0.2500 0.2500 0.2500  4 Li 3.08, 4 Sn 3.08
Sn 0.5000 0.5000 0.5000  4 Er 3.08, 4 Zr 3.08